This record from Alexandria describes a relaxed Hf2UPt9 crystal. The functional is PBE-GGA.

a = 4.0731 Å, b = 4.0731 Å, c = 12.2531 Å
α = 90.00°, β = 90.00°, γ = 90.00°
Fractional coordinates of all 12 atoms:
1 Hf 0.0000 0.0000 0.1634
2 Hf 0.0000 0.0000 0.8366
3 U 0.0000 0.0000 0.5000
4 Pt 0.0000 0.5000 0.0000
5 Pt 0.0000 0.5000 0.3246
6 Pt 0.0000 0.5000 0.6754
7 Pt 0.5000 0.0000 0.0000
8 Pt 0.5000 0.0000 0.3246
9 Pt 0.5000 0.0000 0.6754
10 Pt 0.5000 0.5000 0.1619
11 Pt 0.5000 0.5000 0.5000
12 Pt 0.5000 0.5000 0.8381

Calculated values
Spin magnetization: 0.169 μB per atom
Energy relative to the elements: -1115 kJ/mol of formula units


This record from Alexandria describes a relaxed HfUPt2 crystal. The functional is PBE-GGA.

a = 4.1286 Å, b = 4.1286 Å, c = 17.6772 Å
α = 90.00°, β = 90.00°, γ = 120.00°
Fractional coordinates of all 12 atoms:
1 Hf 0.0000 0.0000 0.0000
2 Hf 0.3333 0.6667 0.6667
3 Hf 0.6667 0.3333 0.3333
4 U 0.0000 0.0000 0.5000
5 U 0.3333 0.6667 0.1667
6 U 0.6667 0.3333 0.8333
7 Pt 0.0000 0.0000 0.2578
8 Pt 0.0000 0.0000 0.7422
9 Pt 0.3333 0.6667 0.4089
10 Pt 0.3333 0.6667 0.9244
11 Pt 0.6667 0.3333 0.0756
12 Pt 0.6667 0.3333 0.5911

Calculated values
Spin magnetization: 0.584 μB per atom
Energy relative to the elements: -252 kJ/mol of formula units
Energy above the lowest structure with this stoichiometry: 0.094 eV per atom


This record from Alexandria describes a relaxed HfVPt crystal. The functional is PBE-GGA.

a = 3.2708 Å, b = 3.2708 Å, c = 9.4518 Å
α = 90.00°, β = 90.00°, γ = 90.00°
Fractional coordinates of all 6 atoms:
1 Hf 0.0000 0.0000 0.0000
2 Hf 0.5000 0.5000 0.5000
3 V 0.0000 0.0000 0.3301
4 V 0.5000 0.5000 0.8301
5 Pt 0.0000 0.0000 0.6756
6 Pt 0.5000 0.5000 0.1756

Calculated values
Spin magnetization: 0.000 μB per atom
Energy relative to the elements: -130 kJ/mol of formula units
Energy above the lowest structure with this stoichiometry: 0.000 eV per atom